Record 1
U2Zn16Rh | PBE | relaxed

Computed properties:
- final energy (eV per atom) = -2.74
- energy of formation (kcal/mol of atoms) = -2.14
- SG = R3m (160)
- Fermi-level density of states (states/eV per cell) = 21.7
- size of the total moment (Bohr magnetons per cell) = 5.2

Unit cell a=6.769 b=6.769 c=6.769 alpha=83.28 beta=83.28 gamma=83.28
Last column: magnetic moment on the atom in μB.
Atoms (fractional coordinates):
Zn 0.999 0.709 0.288  0.01
Zn 0.838 0.358 0.358  0.00
Zn 0.288 0.999 0.709  0.01
Zn 0.288 0.709 0.999  0.01
Zn 0.499 0.001 0.001  0.00
Zn 0.358 0.838 0.358  0.00
U 0.342 0.342 0.342  2.47
Zn 0.709 0.288 0.999  0.01
Zn 0.001 0.499 0.001  0.00
Zn 0.155 0.648 0.648  0.00
Zn 0.648 0.155 0.648  0.00
Zn 0.102 0.102 0.102  0.01
Zn 0.999 0.288 0.709  0.01
U 0.673 0.673 0.673  2.27
Zn 0.001 0.001 0.499  0.00
Zn 0.358 0.358 0.838  0.00
Zn 0.648 0.648 0.155  0.00
Zn 0.709 0.999 0.288  0.01
Rh 0.887 0.887 0.887  -0.12

Record 2
U2ZnRh8 | PBE | relaxed

Computed properties:
- final energy (eV per atom) = -7.91
- energy of formation (kcal/mol of atoms) = -9.17
- SG = C2/m (12)
- Fermi-level density of states (states/eV per cell) = 5.5
- size of the total moment (Bohr magnetons per cell) = 0.0

Unit cell a=4.532 b=6.506 c=7.070 alpha=114.04 beta=108.70 gamma=90.00
Atoms (fractional coordinates):
Rh 0.586 0.438 0.172
Rh 0.325 0.069 0.650
Rh 0.963 0.213 0.925
Rh 0.675 0.931 0.350
Rh 0.414 0.562 0.828
Rh 0.173 0.247 0.346
Zn 0.500 0.000 0.000
U 0.817 0.353 0.634
U 0.183 0.647 0.366
Rh 0.827 0.753 0.654
Rh 0.037 0.787 0.075

Record 3
UZn2Rh4 | PBE | relaxed

Computed properties:
- final energy (eV per atom) = -6.50
- energy of formation (kcal/mol of atoms) = -7.41
- SG = I4/mmm (139)
- Fermi-level density of states (states/eV per cell) = 4.9
- size of the total moment (Bohr magnetons per cell) = 0.3

Unit cell a=5.318 b=5.318 c=5.318 alpha=111.80 beta=108.32 gamma=108.32
Last column: magnetic moment on the atom in μB.
Atoms (fractional coordinates):
Rh 0.000 0.500 0.000  -0.02
Rh 0.500 0.500 0.500  -0.02
Rh 0.500 0.000 0.000  -0.02
Zn 0.500 0.000 0.500  0.00
Rh 0.000 0.000 0.500  -0.02
U 0.000 0.000 0.000  0.33
Zn 0.500 0.500 0.000  0.00

Record 4
UZn2Rh3 | PBE | relaxed

Computed properties:
- final energy (eV per atom) = -6.51
- energy of formation (kcal/mol of atoms) = -12.22
- SG = Cmmm (65)
- Fermi-level density of states (states/eV per cell) = 9.4
- size of the total moment (Bohr magnetons per cell) = 1.2

Unit cell a=3.588 b=4.286 c=12.345 alpha=90.00 beta=90.00 gamma=90.00
Last column: magnetic moment on the atom in μB.
Atoms (fractional coordinates):
Zn 0.000 0.500 0.823  0.00
Rh 0.500 0.500 0.662  -0.06
Rh 0.500 0.000 0.162  -0.06
Rh 0.500 0.500 0.338  -0.06
Zn 0.000 0.000 0.323  0.00
Rh 0.500 0.500 0.000  -0.04
Zn 0.000 0.000 0.677  0.00
Rh 0.500 0.000 0.500  -0.04
U 0.000 0.000 0.000  0.70
Rh 0.500 0.000 0.838  -0.06
U 0.000 0.500 0.500  0.70
Zn 0.000 0.500 0.177  0.00

Record 5
UZn20Rh2 | PBE | relaxed

Computed properties:
- final energy (eV per atom) = -2.41
- energy of formation (kcal/mol of atoms) = -3.93
- SG = Fd-3m (227)
- Fermi-level density of states (states/eV per cell) = 25.5
- size of the total moment (Bohr magnetons per cell) = 4.4

Unit cell a=10.068 b=10.068 c=10.068 alpha=60.00 beta=60.00 gamma=60.00
Last column: magnetic moment on the atom in μB.
Atoms (fractional coordinates):
U 0.750 0.750 0.750  2.24
Zn 0.947 0.424 0.682  0.00
Rh 0.625 0.125 0.125  -0.05
Zn 0.947 0.424 0.947  0.00
Zn 0.303 0.303 0.568  0.00
Rh 0.125 0.125 0.625  -0.05
Zn 0.826 0.568 0.303  0.00
Rh 0.125 0.625 0.125  -0.05
Zn 0.139 0.861 0.139  -0.01
Zn 0.424 0.947 0.682  0.00
Zn 0.568 0.303 0.826  0.00
Zn 0.389 0.389 0.111  -0.01
Zn 0.947 0.682 0.947  0.00
Zn 0.682 0.947 0.424  0.00
Zn 0.125 0.625 0.625  0.02
Zn 0.303 0.303 0.826  0.00
Zn 0.139 0.139 0.861  -0.01
Zn 0.826 0.303 0.303  0.00
Zn 0.389 0.111 0.111  -0.01
Zn 0.424 0.682 0.947  0.00
Zn 0.861 0.139 0.139  -0.01
Rh 0.125 0.125 0.125  -0.05
Zn 0.111 0.389 0.111  -0.01
Zn 0.861 0.139 0.861  -0.01
Zn 0.625 0.125 0.625  0.02
Zn 0.111 0.111 0.389  -0.01
Zn 0.303 0.826 0.568  0.00
Zn 0.682 0.947 0.947  0.00
Zn 0.947 0.947 0.682  0.00
Zn 0.682 0.424 0.947  0.00
Zn 0.424 0.947 0.947  0.00
Zn 0.861 0.861 0.139  -0.01
Zn 0.303 0.826 0.303  0.00
Zn 0.303 0.568 0.303  0.00
U 0.500 0.500 0.500  2.24
Zn 0.139 0.861 0.861  -0.01
Zn 0.625 0.625 0.125  0.02
Zn 0.568 0.303 0.303  0.00
Zn 0.947 0.947 0.424  0.00
Zn 0.947 0.682 0.424  0.00
Zn 0.389 0.111 0.389  -0.01
Zn 0.111 0.389 0.389  -0.01
Zn 0.568 0.826 0.303  0.00
Zn 0.625 0.625 0.625  0.02
Zn 0.826 0.303 0.568  0.00
Zn 0.303 0.568 0.826  0.00

Record 6
UZn3Rh4 | PBE | relaxed

Computed properties:
- final energy (eV per atom) = -6.09
- energy of formation (kcal/mol of atoms) = -12.22
- SG = I4/mmm (139)
- Fermi-level density of states (states/eV per cell) = 5.6
- size of the total moment (Bohr magnetons per cell) = 0.9

Unit cell a=4.372 b=4.372 c=7.105 alpha=107.95 beta=107.94 gamma=90.00
Last column: magnetic moment on the atom in μB.
Atoms (fractional coordinates):
Rh 0.870 0.870 0.739  -0.06
Rh 0.630 0.630 0.261  -0.06
Rh 0.130 0.130 0.261  -0.06
U 0.500 0.000 0.000  1.11
Zn 0.000 0.500 0.000  0.00
Rh 0.370 0.370 0.739  -0.06
Zn 0.245 0.745 0.491  0.00
Zn 0.755 0.255 0.509  0.00